Record 1
# TbSmTm2Sc2 | Alexandria via LeMat-Bulk | PBE-GGA | optimized geometry
data_TbSmTm2Sc2
_space_group_name_H-M_alt 'P n n m'
_space_group_IT_number 58
_cell_length_a 6.283
_cell_length_b 17.216
_cell_length_c 3.329
_cell_angle_alpha 90.00
_cell_angle_beta 90.00
_cell_angle_gamma 90.00
loop_
_space_group_symop_operation_xyz
'x,y,z'
'-x,-y,-z'
'-x,-y,z'
'x,y,-z'
'x+1/2,-y+1/2,-z+1/2'
'-x+1/2,y+1/2,z+1/2'
'-x+1/2,y+1/2,-z+1/2'
'x+1/2,-y+1/2,z+1/2'
loop_
_atom_site_label
_atom_site_type_symbol
_atom_site_fract_x
_atom_site_fract_y
_atom_site_fract_z
Tb1 Tb 0.000 0.000 0.000
Sm1 Sm 0.000 0.500 0.000
Tm1 Tm 0.226 0.190 0.000
Sc1 Sc 0.225 0.352 0.500
# **Formation enthalpy at 0 K**: 1.71 eV/f.u.
# **Uncorrected energy**: -58.49 eV per cell

---

Record 2
# TbSm3Tm6Sc2 | Alexandria via LeMat-Bulk | PBE-GGA | optimized geometry
data_TbSm3Tm6Sc2
_space_group_name_H-M_alt 'C 1 2/m 1'
_space_group_IT_number 12
_cell_length_a 6.058
_cell_length_b 10.488
_cell_length_c 11.542
_cell_angle_alpha 90.00
_cell_angle_beta 100.06
_cell_angle_gamma 90.00
loop_
_space_group_symop_operation_xyz
'x,y,z'
'-x,-y,-z'
'-x,y,-z'
'x,-y,z'
'x+1/2,y+1/2,z'
'-x+1/2,-y+1/2,-z'
'-x+1/2,y+1/2,-z'
'x+1/2,-y+1/2,z'
loop_
_atom_site_label
_atom_site_type_symbol
_atom_site_fract_x
_atom_site_fract_y
_atom_site_fract_z
Tb1 Tb 0.000 0.000 0.000
Sm1 Sm 0.000 0.167 0.500
Sm2 Sm 0.000 0.500 0.500
Tm1 Tm 0.245 0.500 0.243
Tm2 Tm 0.249 0.168 0.243
Sc1 Sc 0.000 0.333 0.000
# **Formation enthalpy at 0 K**: 0.48 eV/f.u.
# **Uncorrected energy**: -115.61 eV per cell

---

Record 3
# TbSm2Tm4Sc | Alexandria via LeMat-Bulk | PBE-GGA | optimized geometry
data_TbSm2Tm4Sc
_space_group_name_H-M_alt 'P 4/m m m'
_space_group_IT_number 123
_space_group_name_Hall '-P 4 2'
_cell_length_a 4.965
_cell_length_b 4.965
_cell_length_c 9.877
_cell_angle_alpha 90.00
_cell_angle_beta 90.00
_cell_angle_gamma 90.00
loop_
_atom_site_label
_atom_site_type_symbol
_atom_site_fract_x
_atom_site_fract_y
_atom_site_fract_z
Tb1 Tb 0.000 0.000 0.000
Sm1 Sm 0.000 0.000 0.500
Sm2 Sm 0.500 0.500 0.000
Tm1 Tm 0.000 0.500 0.255
Sc1 Sc 0.500 0.500 0.500
# **Formation enthalpy at 0 K**: 0.28 eV/f.u.
# **Uncorrected energy**: -38.00 eV per cell

---

Record 4
# Tb2Sm2TmSc | Alexandria via LeMat-Bulk | PBE-GGA | optimized geometry
data_Tb2Sm2TmSc
_space_group_name_H-M_alt 'P m m a'
_space_group_IT_number 51
_cell_length_a 6.854
_cell_length_b 5.573
_cell_length_c 9.640
_cell_angle_alpha 90.00
_cell_angle_beta 90.00
_cell_angle_gamma 90.00
loop_
_space_group_symop_operation_xyz
'x,y,z'
'-x,-y,-z'
'-x+1/2,-y,z'
'x+1/2,y,-z'
'x+1/2,-y,-z'
'-x+1/2,y,z'
'-x,y,-z'
'x,-y,z'
loop_
_atom_site_label
_atom_site_type_symbol
_atom_site_fract_x
_atom_site_fract_y
_atom_site_fract_z
Tb1 Tb 0.250 0.000 0.164
Tb2 Tb 0.250 0.500 0.668
Sm1 Sm 0.000 0.500 0.000
Sm2 Sm 0.250 0.000 0.815
Tm1 Tm 0.250 0.500 0.346
Sc1 Sc 0.000 0.000 0.500
# **Formation enthalpy at 0 K**: 0.57 eV/f.u.
# **Uncorrected energy**: -57.87 eV per cell